[1]
# SrSc2BO

A relaxed structure of SrSc2BO (PBE, Alexandria via LeMat-Bulk).

Cell lengths 4.213, 6.263, 4.213 Å; angles 90.00, 90.00, 90.00 degrees
Sites, in units of the cell vectors:
Sc1 0.000 0.000 0.500
Sc2 0.500 0.000 0.000
Sr1 0.500 0.500 0.500
B1 0.000 0.500 0.000
O1 0.000 0.000 0.000

Computed properties:
As for the density of states at the Fermi level: 5.86 states/eV per cell. The mass density comes out at 3.1 g/cm³. The raw formation energy comes out at -1.6 eV per formula unit. Its volume is 111.2 Å³/f.u.



[2]
# ThSc3B4O12

A relaxed structure of ThSc3B4O12 (PBE, Alexandria via LeMat-Bulk).

Cell lengths 6.328, 6.328, 6.328 Å; angles 103.30, 103.30, 103.30 degrees
Sites, in units of the cell vectors:
Th1 0.000 0.000 0.000
Sc1 0.549 0.451 0.000
Sc2 0.451 0.000 0.549
Sc3 0.000 0.549 0.451
B1 0.952 0.048 0.500
B2 0.048 0.500 0.952
B3 0.500 0.952 0.048
B4 0.500 0.500 0.500
O1 0.500 0.360 0.640
O2 0.909 0.500 0.091
O3 0.091 0.909 0.500
O4 0.500 0.091 0.909
O5 0.365 0.965 0.192
O6 0.192 0.365 0.965
O7 0.965 0.192 0.365
O8 0.635 0.808 0.035
O9 0.035 0.635 0.808
O10 0.808 0.035 0.635
O11 0.640 0.500 0.360
O12 0.360 0.640 0.500

Computed properties:
As for the density of states at the Fermi level: 6.11 states/eV per cell. The mass density comes out at 4.4 g/cm³. The raw formation energy comes out at -59.1 eV per formula unit. Its volume is 229.0 Å³/f.u.



[3]
# ThScB2O8

A relaxed structure of ThScB2O8 (PBE, Alexandria via LeMat-Bulk).

Cell lengths 4.648, 4.648, 6.501 Å; angles 110.95, 110.95, 90.00 degrees
Sites, in units of the cell vectors:
Th1 0.750 0.250 0.500
Sc1 0.000 0.000 0.000
B1 0.500 0.500 0.000
B2 0.250 0.750 0.500
O1 0.695 0.810 0.129
O2 0.434 0.319 0.129
O3 0.569 0.725 0.647
O4 0.077 0.922 0.647
O5 0.078 0.431 0.353
O6 0.275 0.923 0.353
O7 0.190 0.566 0.871
O8 0.681 0.305 0.871

Computed properties:
As for the density of states at the Fermi level: 4.60 states/eV per cell. The mass density comes out at 5.8 g/cm³. The raw formation energy comes out at -28.7 eV per formula unit. Its volume is 121.2 Å³/f.u.



[4]
# ScTl2B2O6

A relaxed structure of ScTl2B2O6 (PBE, Alexandria via LeMat-Bulk).

Cell lengths 5.330, 5.350, 7.466 Å; angles 120.43, 90.00, 119.88 degrees
Sites, in units of the cell vectors:
Sc1 0.500 0.000 0.500
Tl1 0.698 0.396 0.162
Tl2 0.302 0.604 0.838
B1 0.935 0.869 0.706
B2 0.065 0.131 0.294
O1 0.780 0.561 0.693
O2 0.207 0.966 0.283
O3 0.241 0.034 0.717
O4 0.793 0.034 0.717
O5 0.759 0.966 0.283
O6 0.220 0.439 0.307

Computed properties:
As for the density of states at the Fermi level: 2.20 states/eV per cell. The mass density comes out at 6.3 g/cm³. The raw formation energy comes out at -23.0 eV per formula unit. Its volume is 149.9 Å³/f.u.



[5]
# Sc3TlB4O12

A relaxed structure of Sc3TlB4O12 (PBE, Alexandria via LeMat-Bulk).

Cell lengths 6.277, 6.277, 6.277 Å; angles 103.50, 103.50, 103.50 degrees
Sites, in units of the cell vectors:
Sc1 0.546 0.454 0.000
Sc2 0.454 0.000 0.546
Sc3 0.000 0.546 0.454
Tl1 0.000 0.000 0.000
B1 0.957 0.043 0.500
B2 0.043 0.500 0.957
B3 0.500 0.957 0.043
B4 0.500 0.500 0.500
O1 0.500 0.360 0.640
O2 0.904 0.500 0.096
O3 0.096 0.904 0.500
O4 0.500 0.096 0.904
O5 0.367 0.968 0.192
O6 0.192 0.367 0.968
O7 0.968 0.192 0.367
O8 0.633 0.808 0.032
O9 0.032 0.633 0.808
O10 0.808 0.032 0.633
O11 0.640 0.500 0.360
O12 0.360 0.640 0.500

Computed properties:
The mass density comes out at 4.3 g/cm³. The raw formation energy comes out at -52.8 eV per formula unit. Its volume is 222.7 Å³/f.u.



[6]
# YScB2O6

A relaxed structure of YScB2O6 (PBE, Alexandria via LeMat-Bulk).

Cell lengths 6.075, 6.075, 6.075 Å; angles 47.66, 47.66, 47.66 degrees
Sites, in units of the cell vectors:
Y1 0.500 0.500 0.500
Sc1 0.000 0.000 0.000
B1 0.745 0.745 0.745
B2 0.255 0.255 0.255
O1 0.019 0.454 0.766
O2 0.454 0.766 0.019
O3 0.766 0.019 0.454
O4 0.546 0.234 0.981
O5 0.234 0.981 0.546
O6 0.981 0.546 0.234

Computed properties:
As for the density of states at the Fermi level: 0.00 states/eV per cell. The mass density comes out at 3.7 g/cm³. The raw formation energy comes out at -30.6 eV per formula unit. Its volume is 112.2 Å³/f.u.